First-principles (PBE-GGA) data for BaSr2Br after structural relaxation, as listed in Alexandria.

Results
Total magnetic moment ... 1.64 μB per cell
ΔE to the lowest computed polymorph ... 0.0081 eV/atom
E_form (uncorrected) ... -2.91 eV/f.u.

abc: 4.2779 4.2779 35.2682
angles: 90.00 90.00 120.00
Space group R-3m (No. 166, hexagonal axes)
Unique sites:
Ba: 0.0000 0.0000 0.0000 x3
Sr: 0.0000 0.0000 0.2326 x6
Br: 0.0000 0.0000 0.5000 x3

---

First-principles (PBE-GGA) data for Ba2LaTc3O12 after structural relaxation, as listed in Alexandria.

Results
Total magnetic moment ... 2.75 μB per cell
E_form (uncorrected) ... -36.01 eV/f.u.

abc: 7.4573 7.4573 16.2465
angles: 90.00 90.00 120.00
Space group R-3m (No. 166, hexagonal axes)
Unique sites:
Ba: 0.0000 0.0000 0.1107 x6
La: 0.0000 0.0000 0.5000 x3
Tc: 0.0000 0.5000 0.0000 x9
O: 0.0412 0.5206 0.8863 x18
O: 0.0803 0.5402 0.3154 x18

---

First-principles (PBE-GGA) data for Na5Se after structural relaxation, as listed in Alexandria.

Results
Total magnetic moment ... 0.00 μB per cell
E_form (uncorrected) ... -2.20 eV/f.u.

abc: 4.865 14.888 4.718
angles: 90.00 90.00 90.00
Space group Cmmm (No. 65)
Unique sites:
Na: 0.000 0.000 0.000 x2
Na: 0.000 0.152 0.500 x4
Na: 0.000 0.346 0.000 x4
Se: 0.000 0.500 0.500 x2

---

First-principles (PBE-GGA) data for KTaTl2 after structural relaxation, as listed in Alexandria.

Results
Total magnetic moment ... 0.72 μB per cell
ΔE to the lowest computed polymorph ... 0.5263 eV/atom
Energy of formation ... 0.95 eV per atom

abc: 4.370 4.370 11.035
angles: 90.00 90.00 90.00
Space group I-4m2 (No. 119)
Unique sites:
K: 0.000 0.000 0.000 x2
Ta: 0.000 0.500 0.750 x2
Tl: 0.000 0.000 0.500 x2
Tl: 0.000 0.500 0.250 x2

---

First-principles (PBE-GGA) data for TaMn2Sb after structural relaxation, as listed in Alexandria.

Results
Total magnetic moment ... 8.96 μB per cell
E_form (uncorrected) ... 1.21 eV/f.u.

abc: 3.593 4.744 7.915
angles: 90.00 90.00 90.00
Space group Cmmm (No. 65)
Unique sites:
Ta: 0.000 0.000 0.000 x2
Mn: 0.000 0.500 0.240 x4
Sb: 0.000 0.000 0.500 x2

---

First-principles (PBE-GGA) data for InSiAg after structural relaxation, as listed in Alexandria.

Results
Total magnetic moment ... 0.00 μB per cell
E_form (uncorrected) ... 0.86 eV/f.u.

abc: 3.094 3.094 12.376
angles: 90.00 90.00 90.00
Space group I4mm (No. 107)
Unique sites:
In: 0.000 0.000 0.000 x2
Si: 0.000 0.000 0.680 x2
Ag: 0.000 0.000 0.319 x2

---

First-principles (PBE-GGA) data for Ba2AcBi2 after structural relaxation, as listed in Alexandria.

Results
Total magnetic moment ... 3.75 μB per cell
Energy of formation ... -0.76 eV per atom

abc: 9.455 13.831 7.313
angles: 90.00 90.00 90.00
Space group Ibam (No. 72)
Unique sites:
Ba: 0.139 0.146 0.000 x8
Ac: 0.000 0.500 0.250 x4
Bi: 0.238 0.112 0.500 x8

---

First-principles (PBE-GGA) data for UMn2Zn after structural relaxation, as listed in Alexandria.

Results
Total magnetic moment ... 1.51 μB per cell
Energy of formation ... 0.02 eV per atom

abc: 4.171 4.171 3.352
angles: 90.00 90.00 90.00
Space group P4/mmm (No. 123)
Unique sites:
U: 0.000 0.000 0.000 x1
Mn: 0.000 0.500 0.500 x2
Zn: 0.500 0.500 0.000 x1

---

First-principles (PBE-GGA) data for Hg3Ge5O12 after structural relaxation, as listed in Alexandria.

Results
Total magnetic moment ... 0.00 μB per cell
E_form (uncorrected) ... -21.80 eV/f.u.

abc: 12.691 12.691 12.691
angles: 90.00 90.00 90.00
Space group Ia-3d (No. 230)
Unique sites:
Hg: 0.000 0.250 0.125 x24
Ge: 0.000 0.000 0.000 x16
Ge: 0.000 0.250 0.375 x24
O: 0.033 0.041 0.647 x96

---

First-principles (PBE-GGA) data for SbS5 after structural relaxation, as listed in Alexandria.

Results
Total magnetic moment ... 0.00 μB per cell
E_form (uncorrected) ... 0.37 eV/f.u.

abc: 4.854 5.623 7.359
angles: 96.77 95.58 109.79
Space group P1 (No. 1)
Unique sites:
Sb: 0.000 0.000 0.000 x1
S: 0.268 0.993 0.724 x1
S: 0.514 0.773 0.763 x1
S: 0.529 0.119 0.232 x1
S: 0.767 0.494 0.264 x1
S: 0.990 0.547 0.033 x1

---

First-principles (PBE-GGA) data for PmHgIr after structural relaxation, as listed in Alexandria.

Results
Total magnetic moment ... 0.00 μB per cell
ΔE to the lowest computed polymorph ... 0.2841 eV/atom
Energy of formation ... -0.26 eV per atom

abc: 5.0819 5.0819 19.0679
angles: 90.00 90.00 120.00
Space group R-3m (No. 166, hexagonal axes)
Unique sites:
Pm: 0.0000 0.0000 0.2184 x6
Hg: 0.0000 0.0000 0.3904 x6
Ir: 0.0000 0.0000 0.0696 x6

---

First-principles (PBE-GGA) data for CuC3 after structural relaxation, as listed in Alexandria.

Results
Total magnetic moment ... 0.00 μB per cell
ΔE to the lowest computed polymorph ... 0.8191 eV/atom
Energy of formation ... 1.42 eV per atom

abc: 2.994 6.176 7.504
angles: 90.00 90.00 90.00
Space group Immm (No. 71)
Unique sites:
Cu: 0.000 0.000 0.000 x2
C: 0.000 0.292 0.000 x4
C: 0.000 0.500 0.000 x2

---

First-principles (PBE-GGA) data for PPtPb2 after structural relaxation, as listed in Alexandria.

Results
Total magnetic moment ... 0.00 μB per cell
Energy of formation ... -0.13 eV per atom

abc: 7.574 3.748 7.292
angles: 90.00 99.91 90.00
Space group Cm (No. 8)
Unique sites:
P: 0.000 0.000 0.000 x2
Pt: 0.298 0.000 0.945 x2
Pb: 0.075 0.500 0.687 x2
Pb: 0.308 0.500 0.288 x2

---

First-principles (PBE-GGA) data for Pa3Ga3Tc2 after structural relaxation, as listed in Alexandria.

Results
Total magnetic moment ... 0.00 μB per cell
ΔE to the lowest computed polymorph ... 0.0000 eV/atom
Energy of formation ... -0.36 eV per atom

abc: 15.336 4.585 4.851
angles: 90.00 101.67 90.00
Space group C2/m (No. 12)
Unique sites:
Pa: 0.000 0.000 0.000 x2
Pa: 0.160 0.000 0.582 x4
Ga: 0.000 0.500 0.500 x2
Ga: 0.130 0.500 0.077 x4
Tc: 0.210 0.000 0.106 x4

---

Respective ρ values: 3.50, 5.73, 1.88, 9.91, 10.16, 7.03, 6.39, 11.77, 7.52, 2.52, 12.56, 2.38, 10.43, 10.92 g/cm3.